[1]
{
  "formula": "TaBeAu2",
  "functional": "PBE",
  "state": "relaxed",
  "magmom_total_mub_per_cell": 0.000,
  "formation_energy_ev_per_atom": -0.098,
  "crystal_system": "tetragonal",
  "total_energy_ev_per_atom": -5.631,
  "mass_density_g_cm3": 15.59,
  "space_group": "P4mm, No. 99",
  "lattice_angstrom": [[-0.170, 0.607, 2.802], [-2.866, 0.038, -0.183], [-0.199, -7.366, 1.584]],
  "species": ["Au", "Au", "Ta", "Be"],
  "fractional_positions": [[0.500, 0.500, 0.302], [0.000, 0.000, 0.993], [0.500, 0.500, 0.713], [0.000, 0.000, 0.491]]
}



[2]
{
  "formula": "TaBeAu",
  "functional": "PBE",
  "state": "relaxed",
  "magmom_total_mub_per_cell": 0.000,
  "formation_energy_ev_per_atom": -0.015,
  "crystal_system": "triclinic",
  "total_energy_ev_per_atom": -6.301,
  "mass_density_g_cm3": 14.39,
  "de_polymorph_ev_per_atom": 0.228,
  "space_group": "P1, No. 1",
  "lattice_angstrom": [[2.794, -0.014, -0.014], [-0.004, 4.508, -0.029], [0.931, 0.822, 7.079]],
  "species": ["Be", "Be", "Au", "Au", "Ta", "Ta"],
  "fractional_positions": [[0.384, 0.285, 0.827], [0.513, 0.674, 0.594], [0.903, 0.802, 0.867], [0.800, 0.264, 0.117], [0.286, 0.735, 0.272], [0.956, 0.194, 0.512]]
}



[3]
{
  "formula": "TaBeAu4",
  "functional": "PBE",
  "state": "relaxed",
  "magmom_total_mub_per_cell": 0.711,
  "formation_energy_ev_per_atom": 0.619,
  "crystal_system": "cubic",
  "total_energy_ev_per_atom": -4.163,
  "mass_density_g_cm3": 14.71,
  "space_group": "F-43m, No. 216",
  "lattice_angstrom": [[2.429, -3.848, 2.878], [-2.376, -4.789, 0.639], [2.000, -4.348, -2.466]],
  "species": ["Au", "Au", "Au", "Au", "Ta", "Be"],
  "fractional_positions": [[0.375, 0.375, 0.875], [0.375, 0.875, 0.375], [0.375, 0.375, 0.375], [0.875, 0.375, 0.375], [0.000, 0.000, 0.000], [0.750, 0.750, 0.750]]
}



[4]
{
  "formula": "TaBeAu2",
  "functional": "PBE",
  "state": "relaxed",
  "magmom_total_mub_per_cell": 0.000,
  "formation_energy_ev_per_atom": 0.215,
  "crystal_system": "orthorhombic",
  "total_energy_ev_per_atom": -5.318,
  "mass_density_g_cm3": 14.65,
  "space_group": "Cmmm, No. 65",
  "lattice_angstrom": [[-5.583, 4.433, 1.883], [0.192, -3.637, -3.173], [-2.034, -1.360, 1.433]],
  "species": ["Ta", "Au", "Au", "Be"],
  "fractional_positions": [[0.500, 0.500, 0.000], [0.000, 0.000, 0.000], [0.500, 0.000, 0.500], [0.000, 0.500, 0.500]]
}



[5]
{
  "formula": "TaBeAu",
  "functional": "PBE",
  "state": "relaxed",
  "magmom_total_mub_per_cell": 0.000,
  "formation_energy_ev_per_atom": 0.337,
  "crystal_system": "hexagonal",
  "total_energy_ev_per_atom": -5.949,
  "mass_density_g_cm3": 14.13,
  "de_polymorph_ev_per_atom": 0.580,
  "space_group": "P6_3/mmc, No. 194",
  "lattice_angstrom": [[-3.911, 1.667, -1.374], [0.189, -4.111, 1.739], [-0.836, 1.990, 4.796]],
  "species": ["Ta", "Ta", "Be", "Be", "Au", "Au"],
  "fractional_positions": [[0.667, 0.333, 0.250], [0.333, 0.667, 0.750], [0.667, 0.333, 0.750], [0.333, 0.667, 0.250], [0.000, 0.000, 0.000], [0.000, 0.000, 0.500]]
}



[6]
{
  "formula": "TaBeAu",
  "functional": "PBE",
  "state": "relaxed",
  "magmom_total_mub_per_cell": 0.000,
  "formation_energy_ev_per_atom": -0.021,
  "crystal_system": "monoclinic",
  "total_energy_ev_per_atom": -6.307,
  "mass_density_g_cm3": 14.66,
  "de_polymorph_ev_per_atom": 0.222,
  "space_group": "C2, No. 5",
  "lattice_angstrom": [[-0.278, 4.840, -1.274], [-0.020, 2.048, -5.433], [-3.747, 1.538, -2.508]],
  "species": ["Be", "Be", "Au", "Au", "Ta", "Ta"],
  "fractional_positions": [[0.415, 0.307, 0.074], [0.915, 0.293, 0.574], [0.980, 0.801, 0.163], [0.849, 0.455, 0.986], [0.502, 0.107, 0.680], [0.327, 0.799, 0.469]]
}



[7]
{
  "formula": "TaBeAu",
  "functional": "PBE",
  "state": "relaxed",
  "magmom_total_mub_per_cell": 0.000,
  "formation_energy_ev_per_atom": 0.276,
  "crystal_system": "cubic",
  "total_energy_ev_per_atom": -6.010,
  "mass_density_g_cm3": 13.56,
  "de_polymorph_ev_per_atom": 0.519,
  "space_group": "F-43m, No. 216",
  "lattice_angstrom": [[3.293, -2.187, 0.930], [1.633, 0.265, 3.709], [-0.299, -3.124, 2.579]],
  "species": ["Ta", "Au", "Be"],
  "fractional_positions": [[0.250, 0.250, 0.250], [0.750, 0.750, 0.750], [0.000, 0.000, 0.000]]
}



[8]
{
  "formula": "TaBeAu",
  "functional": "PBE",
  "state": "relaxed",
  "magmom_total_mub_per_cell": 0.000,
  "formation_energy_ev_per_atom": 0.216,
  "crystal_system": "trigonal",
  "total_energy_ev_per_atom": -6.069,
  "mass_density_g_cm3": 13.82,
  "de_polymorph_ev_per_atom": 0.459,
  "space_group": "P3m1, No. 156",
  "lattice_angstrom": [[-1.769, -1.794, -1.392], [2.305, 1.080, -1.344], [3.537, -5.048, 2.010]],
  "species": ["Be", "Ta", "Au"],
  "fractional_positions": [[0.667, 0.333, 0.322], [0.333, 0.667, 0.648], [0.000, 0.000, 0.030]]
}



[9]
{
  "formula": "TaBeAu2",
  "functional": "PBE",
  "state": "relaxed",
  "magmom_total_mub_per_cell": 0.000,
  "formation_energy_ev_per_atom": 0.089,
  "crystal_system": "monoclinic",
  "total_energy_ev_per_atom": -5.445,
  "mass_density_g_cm3": 15.13,
  "space_group": "P2/m, No. 10",
  "lattice_angstrom": [[4.032, 0.000, 0.000], [0.000, 2.878, 0.005], [0.000, 1.368, 5.524]],
  "species": ["Au", "Au", "Be", "Ta"],
  "fractional_positions": [[0.000, 0.383, 0.483], [0.000, 0.117, 0.017], [0.500, 0.250, 0.250], [0.500, 0.750, 0.750]]
}



[10]
{
  "formula": "TaBeAu",
  "functional": "PBE",
  "state": "relaxed",
  "magmom_total_mub_per_cell": 0.000,
  "formation_energy_ev_per_atom": 0.003,
  "crystal_system": "orthorhombic",
  "total_energy_ev_per_atom": -6.283,
  "mass_density_g_cm3": 14.50,
  "de_polymorph_ev_per_atom": 0.246,
  "space_group": "Imma, No. 74",
  "lattice_angstrom": [[-1.175, -4.973, 1.185], [-0.062, -1.134, -4.821], [6.648, -1.507, 0.269]],
  "species": ["Ta", "Ta", "Ta", "Ta", "Be", "Be", "Be", "Be", "Au", "Au", "Au", "Au"],
  "fractional_positions": [[0.000, 0.750, 0.639], [0.500, 0.250, 0.139], [0.000, 0.250, 0.361], [0.500, 0.750, 0.861], [0.500, 0.000, 0.500], [0.000, 0.500, 0.000], [0.000, 0.000, 0.000], [0.500, 0.500, 0.500], [0.750, 0.750, 0.250], [0.750, 0.250, 0.750], [0.250, 0.250, 0.750], [0.250, 0.750, 0.250]]
}



[11]
{
  "formula": "TaBeAu",
  "functional": "PBE",
  "state": "relaxed",
  "magmom_total_mub_per_cell": 0.000,
  "formation_energy_ev_per_atom": 0.000,
  "crystal_system": "orthorhombic",
  "total_energy_ev_per_atom": -6.285,
  "mass_density_g_cm3": 14.19,
  "de_polymorph_ev_per_atom": 0.244,
  "space_group": "Imm2, No. 44",
  "lattice_angstrom": [[-2.699, -0.365, 1.656], [2.954, -4.672, 0.717], [0.854, 2.353, 4.977]],
  "species": ["Be", "Be", "Au", "Au", "Ta", "Ta"],
  "fractional_positions": [[0.701, 0.772, 0.065], [0.700, 0.386, 0.680], [0.982, 0.548, 0.276], [0.982, 0.175, 0.903], [0.216, 0.095, 0.356], [0.407, 0.786, 0.665]]
}



[12]
{
  "formula": "TaBeAu",
  "functional": "PBE",
  "state": "relaxed",
  "magmom_total_mub_per_cell": 0.000,
  "formation_energy_ev_per_atom": -0.006,
  "crystal_system": "orthorhombic",
  "total_energy_ev_per_atom": -6.291,
  "mass_density_g_cm3": 14.26,
  "de_polymorph_ev_per_atom": 0.237,
  "space_group": "Imm2, No. 44",
  "lattice_angstrom": [[-1.976, -4.735, 0.110], [2.841, -3.037, -0.390], [1.287, -2.238, 4.435]],
  "species": ["Au", "Au", "Be", "Be", "Ta", "Ta"],
  "fractional_positions": [[0.212, 0.795, 0.699], [0.713, 0.795, 0.197], [0.577, 0.461, 0.001], [0.015, 0.461, 0.563], [0.628, 0.129, 0.614], [0.130, 0.127, 0.116]]
}